No. 1
# Li3CoH | Alexandria | PBE | relaxed
# E above lowest polymorph = 0 meV per atom
data_Li3CoH
_chemical_formula_sum 'Li3 Co1 H1'
_symmetry_space_group_name_H-M 'P m -3 m'
_symmetry_Int_Tables_number 221
_symmetry_space_group_name_Hall '-P 4 2 3'
_cell_length_a 3.838
_cell_length_b 3.838
_cell_length_c 3.838
_cell_angle_alpha 90.00
_cell_angle_beta 90.00
_cell_angle_gamma 90.00
loop_
_atom_site_label
_atom_site_type_symbol
_atom_site_fract_x
_atom_site_fract_y
_atom_site_fract_z
_atom_site_occupancy
Li1 Li 0.000 0.000 0.500 1
Co1 Co 0.500 0.500 0.500 1
H1 H 0.000 0.000 0.000 1

=====

No. 2
# Li3CoH8 | Alexandria | PBE | relaxed
# Electronic total energy = -3.37 eV/atom
data_Li3CoH8
_chemical_formula_sum 'Li6 Co2 H16'
_symmetry_space_group_name_H-M 'I 4/m m m'
_symmetry_Int_Tables_number 139
_symmetry_space_group_name_Hall '-I 4 2'
_cell_length_a 4.145
_cell_length_b 4.145
_cell_length_c 8.901
_cell_angle_alpha 90.00
_cell_angle_beta 90.00
_cell_angle_gamma 90.00
loop_
_atom_site_label
_atom_site_type_symbol
_atom_site_fract_x
_atom_site_fract_y
_atom_site_fract_z
_atom_site_occupancy
Li1 Li 0.000 0.000 0.000 1
Li2 Li 0.000 0.500 0.250 1
Co1 Co 0.000 0.000 0.500 1
H1 H 0.221 0.221 0.397 1

=====

No. 3
# Li5Co2H12 | Alexandria | PBE | relaxed
# Electronic total energy = -3.51 eV/atom
data_Li5Co2H12
_chemical_formula_sum 'Li10 Co4 H24'
_symmetry_space_group_name_H-M 'C 1 2/m 1'
_symmetry_Int_Tables_number 12
_cell_length_a 9.471
_cell_length_b 5.821
_cell_length_c 4.727
_cell_angle_alpha 90.00
_cell_angle_beta 94.95
_cell_angle_gamma 90.00
loop_
_symmetry_equiv_pos_as_xyz
'x,y,z'
'-x,-y,-z'
'-x,y,-z'
'x,-y,z'
'x+1/2,y+1/2,z'
'-x+1/2,-y+1/2,-z'
'-x+1/2,y+1/2,-z'
'x+1/2,-y+1/2,z'
loop_
_atom_site_label
_atom_site_type_symbol
_atom_site_fract_x
_atom_site_fract_y
_atom_site_fract_z
_atom_site_occupancy
Li1 Li 0.000 0.000 0.000 1
Li2 Li 0.134 0.500 0.995 1
Li3 Li 0.242 0.000 0.475 1
Co1 Co 0.000 0.254 0.500 1
H1 H 0.032 0.500 0.349 1
H2 H 0.056 0.000 0.610 1
H3 H 0.110 0.227 0.264 1
H4 H 0.138 0.253 0.723 1

=====

No. 4
# Li4Co3H10 | Alexandria | PBE | relaxed
# Electronic total energy = -3.92 eV/atom
data_Li4Co3H10
_chemical_formula_sum 'Li8 Co6 H20'
_symmetry_space_group_name_H-M 'I 4/m m m'
_symmetry_Int_Tables_number 139
_symmetry_space_group_name_Hall '-I 4 2'
_cell_length_a 3.192
_cell_length_b 3.192
_cell_length_c 22.529
_cell_angle_alpha 90.00
_cell_angle_beta 90.00
_cell_angle_gamma 90.00
loop_
_atom_site_label
_atom_site_type_symbol
_atom_site_fract_x
_atom_site_fract_y
_atom_site_fract_z
_atom_site_occupancy
Li1 Li 0.000 0.000 0.069 1
Li2 Li 0.000 0.000 0.202 1
Co1 Co 0.000 0.000 0.357 1
Co2 Co 0.000 0.000 0.500 1
H1 H 0.000 0.000 0.287 1
H2 H 0.000 0.000 0.428 1
H3 H 0.000 0.500 0.000 1
H4 H 0.000 0.500 0.140 1

=====

No. 5
# Li4CoH6 | Alexandria | PBE | relaxed
# Electronic total energy = -3.51 eV/atom
data_Li4CoH6
_chemical_formula_sum 'Li8 Co2 H12'
_symmetry_space_group_name_H-M 'P 4/m n c'
_symmetry_Int_Tables_number 128
_symmetry_space_group_name_Hall '-P 4 2n'
_cell_length_a 5.605
_cell_length_b 5.605
_cell_length_c 5.714
_cell_angle_alpha 90.00
_cell_angle_beta 90.00
_cell_angle_gamma 90.00
loop_
_atom_site_label
_atom_site_type_symbol
_atom_site_fract_x
_atom_site_fract_y
_atom_site_fract_z
_atom_site_occupancy
Li1 Li 0.195 0.305 0.250 1
Co1 Co 0.000 0.000 0.000 1
H1 H 0.000 0.000 0.278 1
H2 H 0.061 0.720 0.000 1

=====

No. 6
# LiCoH3 | Alexandria | PBE | relaxed
# Electronic total energy = -3.89 eV/atom
data_LiCoH3
_chemical_formula_sum 'Li4 Co4 H12'
_symmetry_space_group_name_H-M 'C 1 2/m 1'
_symmetry_Int_Tables_number 12
_cell_length_a 10.197
_cell_length_b 2.615
_cell_length_c 5.562
_cell_angle_alpha 90.00
_cell_angle_beta 102.24
_cell_angle_gamma 90.00
loop_
_symmetry_equiv_pos_as_xyz
'x,y,z'
'-x,-y,-z'
'-x,y,-z'
'x,-y,z'
'x+1/2,y+1/2,z'
'-x+1/2,-y+1/2,-z'
'-x+1/2,y+1/2,-z'
'x+1/2,-y+1/2,z'
loop_
_atom_site_label
_atom_site_type_symbol
_atom_site_fract_x
_atom_site_fract_y
_atom_site_fract_z
_atom_site_occupancy
Li1 Li 0.115 0.000 0.370 1
Co1 Co 0.162 0.500 0.836 1
H1 H 0.071 0.000 0.720 1
H2 H 0.173 0.000 0.041 1
H3 H 0.191 0.500 0.582 1

=====

Sequential Fermi-level density of states output: 3.7, 0.4, 2.4, 3.3, 1.7, 1.5 states/eV/f.u.